[1]
Compound: Dy3Si11Pt23
Source: Alexandria via LeMat-Bulk
Functional: PBE
Structure: relaxed

abc: 16.9865 16.9865 16.9865
angles: 90.00 90.00 90.00
Last column: nearest neighbours and their distance in Å.
Space group Fm-3m (No. 225)
One atom of each set of equivalent atoms:
Dy 0.0000 0.2500 0.2500 x24  8 Pt 3.15, 4 Si 3.47
Si 0.0000 0.0000 0.1713 x24  8 Pt 2.45-2.49
Si 0.1064 0.1064 0.3936 x32  7 Pt 2.46-2.58
Si 0.1654 0.1654 0.1654 x32  7 Pt 2.43-2.51
Pt 0.0000 0.0000 0.3742 x24  4 Si 2.58
Pt 0.0829 0.0829 0.0829 x32  4 Si 2.43-2.49
Pt 0.0847 0.0847 0.2520 x96  3 Si 2.43-2.46
Pt 0.1917 0.1917 0.3083 x32  4 Si 2.51, 6 Pt 2.74-2.80

Computed properties:
Formation energy without anion corrections ... -0.885 eV/atom
VASP energy ... -6.626 eV/atom

---

[2]
Compound: DySi4Pt2
Source: Alexandria via LeMat-Bulk
Functional: PBE
Structure: relaxed

abc: 16.5357 4.2497 6.5731
angles: 90.00 90.00 90.00
Last column: nearest neighbours and their distance in Å.
Space group Pnma (No. 62)
One atom of each set of equivalent atoms:
Dy 0.1437 0.2500 0.0248 x4  10 Si 2.93-3.21, 4 Pt 3.21
Si 0.0409 0.7500 0.8577 x4  3 Pt 2.48-2.52, 2 Si 2.55-2.70
Si 0.0625 0.2500 0.4602 x4  4 Pt 2.46-2.64, 1 Si 2.70
Si 0.1772 0.7500 0.3377 x4  4 Pt 2.58-2.67, 1 Si 2.64
Si 0.1877 0.7500 0.7378 x4  3 Pt 2.50-2.63, 2 Si 2.55-2.64
Pt 0.0260 0.7500 0.2396 x4  7 Si 2.46-2.64
Pt 0.2109 0.2500 0.5456 x4  7 Si 2.50-2.67

Computed properties:
Formation energy without anion corrections ... -0.655 eV/atom
VASP energy ... -6.137 eV/atom

---

[3]
Compound: Dy2Si3Pt3
Source: Alexandria via LeMat-Bulk
Functional: PBE
Structure: relaxed

abc: 2.8427 2.8427 20.3830
angles: 90.00 90.00 90.00
Last column: nearest neighbours and their distance in Å.
Space group P4/mmm (No. 123)
One atom of each set of equivalent atoms:
Dy 0.0000 0.0000 0.2474 x2  1 Pt 2.73, 1 Si 2.81, 4 Dy 2.84
Si 0.0000 0.0000 0.0000 x1  2 Pt 2.31
Si 0.0000 0.0000 0.3853 x2  1 Pt 2.34
Pt 0.0000 0.0000 0.1135 x2  1 Si 2.31
Pt 0.0000 0.0000 0.5000 x1  2 Si 2.34

Computed properties:
Formation energy without anion corrections ... 0.353 eV/atom
VASP energy ... -5.097 eV/atom

---

[4]
Compound: SmDySiPt
Source: Alexandria via LeMat-Bulk
Functional: PBE
Structure: relaxed

abc: 4.1777 4.0493 10.8811
angles: 90.00 90.00 90.00
Last column: nearest neighbours and their distance in Å.
Space group Amm2 (No. 38)
One atom of each set of equivalent atoms:
Sm 0.0000 0.0000 0.0000 x2  4 Si 3.01, 3 Pt 3.03-3.14
Dy 0.5000 0.0000 0.7193 x2  4 Pt 2.98, 3 Si 3.06-3.15
Si 0.5000 0.0000 0.4300 x2  2 Pt 2.66
Pt 0.0000 0.0000 0.2789 x2  2 Si 2.66

Computed properties:
Formation energy without anion corrections ... -1.005 eV/atom
VASP energy ... -6.202 eV/atom

---

[5]
Compound: Sm2DySi3Pt12
Source: Alexandria via LeMat-Bulk
Functional: PBE
Structure: relaxed

abc: 8.3378 8.3378 17.9097
angles: 90.00 90.00 120.00
Last column: nearest neighbours and their distance in Å.
Space group R-3m (No. 166, hexagonal axes)
One atom of each set of equivalent atoms:
Sm 0.0000 0.0000 0.0978 x6  6 Pt 2.87-2.88
Dy 0.0000 0.0000 0.5000 x3  6 Pt 2.71
Si 0.0000 0.5000 0.0000 x9  6 Pt 2.36-2.38
Pt 0.0323 0.5162 0.3669 x18  2 Si 2.38
Pt 0.0322 0.5161 0.8687 x18  1 Si 2.36

Computed properties:
Formation energy without anion corrections ... -0.559 eV/atom
VASP energy ... -6.270 eV/atom

---

[6]
Compound: Sm2DySi2Pt7
Source: Alexandria via LeMat-Bulk
Functional: PBE
Structure: relaxed

abc: 5.7827 5.7316 13.8361
angles: 90.00 98.12 90.00
Last column: nearest neighbours and their distance in Å.
Space group C2/m (No. 12)
One atom of each set of equivalent atoms:
Sm 0.1089 0.0000 0.3556 x4  7 Pt 2.99-3.34, 4 Si 3.14-3.28
Dy 0.0000 0.0000 0.0000 x2  12 Pt 2.87-2.99
Si 0.0874 0.5000 0.2538 x4  5 Pt 2.35-2.41
Pt 0.0000 0.5000 0.0000 x2  4 Dy 2.87-2.89, 8 Pt 2.98-2.99
Pt 0.1229 0.5000 0.4251 x4  1 Si 2.35
Pt 0.1950 0.2504 0.8406 x8  2 Si 2.41

Computed properties:
Formation energy without anion corrections ... -1.121 eV/atom
VASP energy ... -6.718 eV/atom

---

[7]
Compound: SmDy2Si2Pt7
Source: Alexandria via LeMat-Bulk
Functional: PBE
Structure: relaxed

abc: 5.7707 5.7107 13.8327
angles: 90.00 98.80 90.00
Last column: nearest neighbours and their distance in Å.
Space group C2/m (No. 12)
One atom of each set of equivalent atoms:
Sm 0.0000 0.0000 0.0000 x2  12 Pt 2.86-3.04
Dy 0.1174 0.0000 0.3581 x4  7 Pt 2.99-3.29, 4 Si 3.10-3.27
Si 0.0968 0.5000 0.2594 x4  5 Pt 2.32-2.40
Pt 0.0000 0.5000 0.0000 x2  4 Sm 2.86-2.89, 8 Pt 3.03-3.04
Pt 0.1340 0.5000 0.4290 x4  1 Si 2.32
Pt 0.1880 0.2503 0.8347 x8  2 Si 2.40

Computed properties:
Formation energy without anion corrections ... -1.087 eV/atom
VASP energy ... -6.675 eV/atom

---

[8]
Compound: Dy3Si2SnPt9
Source: Alexandria via LeMat-Bulk
Functional: PBE
Structure: relaxed

abc: 5.6524 5.6524 11.1794
angles: 90.00 90.00 120.00
Last column: nearest neighbours and their distance in Å.
Space group P-3m1 (No. 164)
One atom of each set of equivalent atoms:
Dy 0.0000 0.0000 0.0000 x1  6 Pt 2.83
Dy 0.3333 0.6667 0.5940 x2  6 Pt 3.02
Si 0.3333 0.6667 0.1578 x2  6 Pt 2.37-2.40
Sn 0.0000 0.0000 0.5000 x1  6 Pt 2.67
Pt 0.0000 0.5000 0.0000 x3  2 Si 2.40
Pt 0.1667 0.3333 0.3110 x6  1 Si 2.37

Computed properties:
Formation energy without anion corrections ... -0.795 eV/atom
VASP energy ... -6.330 eV/atom

---

Q: Number 8 is which compound?
A: Dy3Si2SnPt9